# 1
Computed, not measured: MgCoTcAg2 at its PBEsol-relaxed geometry at the SCAN level of DFT.

The structure in POSCAR format:
```
MgCoTcAg2
1.0
-2.5260 2.7228 1.9575
-0.0993 -2.8233 3.7991
3.7803 2.2395 1.7631
Co Mg Tc Ag
1 1 1 2
direct
0.0000 0.0000 0.0000
0.5000 0.5000 0.5000
0.5000 0.0000 0.0000
0.0000 0.0000 0.5000
0.0000 0.5000 0.0000
```

Results
As for the formation energy: 4.47 eV per formula unit. As for the calculated density: 7.0 g/cm³. The crystal system is tetragonal. For the total magnetic moment, the calculation gives 1.51 μB per formula unit.

***

# 2
Computed, not measured: MnCo2Ag at its PBEsol-relaxed geometry at the SCAN level of DFT.

The structure in POSCAR format:
```
MnCo2Ag
1.0
4.1624 0.0000 0.0000
2.0812 3.6047 0.0000
2.0812 1.2016 3.3986
Mn Ag Co
1 1 2
direct
0.2500 0.2500 0.2500
0.5000 0.5000 0.5000
0.0000 0.0000 0.0000
0.7500 0.7500 0.7500
```

Results
As for the formation energy: 0.64 eV per formula unit. As for the calculated density: 9.1 g/cm³. The crystal system is cubic. For the total magnetic moment, the calculation gives 7.34 μB per formula unit.

***

# 3
Computed, not measured: CoAg4Mo at its PBEsol-relaxed geometry at the SCAN level of DFT.

The structure in POSCAR format:
```
CoAg4Mo
1.0
-3.0902 3.5649 2.1538
-4.9586 -1.1359 1.0096
-1.5839 -0.5647 4.9061
Mo Ag Co
1 4 1
direct
0.0000 0.0000 0.0000
0.6249 0.6249 0.1253
0.1253 0.6249 0.6249
0.6249 0.6249 0.6249
0.6249 0.1253 0.6249
0.2500 0.2500 0.2500
```

Results
As for the formation energy: 4.55 eV per formula unit. As for the calculated density: 9.9 g/cm³. The crystal system is cubic. For the total magnetic moment, the calculation gives 1.16 μB per formula unit.

***

# 4
Computed, not measured: CoAgN2 at its PBEsol-relaxed geometry at the SCAN level of DFT.

The structure in POSCAR format:
```
CoAgN2
1.0
-0.2986 -2.4125 -1.3855
1.1321 -0.3036 -2.5407
5.4121 -2.9984 1.2291
Co Ag N
1 1 2
direct
0.5000 0.5000 0.5000
0.0000 0.0000 0.0000
0.1122 0.1122 0.6634
0.8878 0.8878 0.3366
```

Results
Its uncorrected formation energy is 612 meV per atom. As for the calculated density: 7.8 g/cm³. The crystal system is trigonal. For the total magnetic moment, the calculation gives 0.01 μB per formula unit.

***

# 5
Computed, not measured: NaCoNiAg2 at its PBEsol-relaxed geometry at the SCAN level of DFT.

The structure in POSCAR format:
```
NaCoNiAg2
1.0
-0.2350 -1.1370 4.1867
-0.7515 -4.3653 -1.2276
4.5278 -0.7905 0.0394
Co Ni Na Ag
1 1 1 2
direct
0.5000 0.5000 0.5000
0.5000 0.0000 0.0000
0.0000 0.0000 0.0000
0.0000 0.5000 0.0000
0.0000 0.0000 0.5000
```

Results
As for the formation energy: 7.41 eV per formula unit. As for the calculated density: 6.4 g/cm³. The crystal system is tetragonal. For the total magnetic moment, the calculation gives 2.01 μB per formula unit.

***

# 6
Computed, not measured: NaCoSi2Ag at its PBEsol-relaxed geometry at the SCAN level of DFT.

The structure in POSCAR format:
```
NaCoSi2Ag
1.0
-0.2951 -1.5503 -3.9245
3.6655 -2.0430 0.5314
-2.4829 -3.9957 1.7652
Si Co Na Ag
2 1 1 1
direct
0.0000 0.5000 0.0000
0.5000 0.0000 0.0000
0.0000 0.0000 0.0000
0.5000 0.5000 0.5000
0.0000 0.0000 0.5000
```

Results
Its uncorrected formation energy is 154 meV per atom. As for the calculated density: 4.5 g/cm³. The crystal system is tetragonal. For the total magnetic moment, the calculation gives 0.00 μB per formula unit.

***

# 7
Computed, not measured: NbCoAg2 at its PBEsol-relaxed geometry at the SCAN level of DFT.

The structure in POSCAR format:
```
NbCoAg2
1.0
-2.4985 -1.0631 3.5077
-4.0935 -1.6013 -0.5963
-0.8688 -4.2567 0.8959
Nb Co Ag
1 1 2
direct
0.5000 0.5000 0.5000
0.0000 0.0000 0.0000
0.2500 0.2500 0.2500
0.7500 0.7500 0.7500
```

Results
As for the formation energy: 2.29 eV per formula unit. As for the calculated density: 9.9 g/cm³. The crystal system is cubic. For the total magnetic moment, the calculation gives 2.00 μB per formula unit.

***

# 8
Computed, not measured: NbCo2Ag at its PBEsol-relaxed geometry at the SCAN level of DFT.

The structure in POSCAR format:
```
NbCo2Ag
1.0
4.2153 0.0000 0.0000
2.1077 3.6506 0.0000
2.1077 1.2169 3.4418
Co Nb Ag
2 1 1
direct
0.7500 0.7500 0.7500
0.2500 0.2500 0.2500
0.0000 0.0000 0.0000
0.5000 0.5000 0.5000
```

Results
As for the formation energy: 1.15 eV per formula unit. As for the calculated density: 10.0 g/cm³. The crystal system is cubic. For the total magnetic moment, the calculation gives 0.00 μB per formula unit.

***

Please write out number 6 again, unchanged.
Computed, not measured: NaCoSi2Ag at its PBEsol-relaxed geometry at the SCAN level of DFT.

The structure in POSCAR format:
```
NaCoSi2Ag
1.0
-0.2951 -1.5503 -3.9245
3.6655 -2.0430 0.5314
-2.4829 -3.9957 1.7652
Si Co Na Ag
2 1 1 1
direct
0.0000 0.5000 0.0000
0.5000 0.0000 0.0000
0.0000 0.0000 0.0000
0.5000 0.5000 0.5000
0.0000 0.0000 0.5000
```

Results
Its uncorrected formation energy is 154 meV per atom. As for the calculated density: 4.5 g/cm³. The crystal system is tetragonal. For the total magnetic moment, the calculation gives 0.00 μB per formula unit.